[1]
A crystal of LiAl relaxed with PBEsol, computed with meta-GGA SCAN.

The crystal system is tetragonal. For the calculated formation energy, the calculation gives -77.8 meV/atom.

Geometry as CIF:
```
data_LiAl
_symmetry_space_group_name_H-M 'P 1'
_symmetry_Int_Tables_number 1
_symmetry_space_group_name_Hall 'P 1'
_cell_length_a 2.8236
_cell_length_b 2.8236
_cell_length_c 8.5786
_cell_angle_alpha 90.00
_cell_angle_beta 90.00
_cell_angle_gamma 90.00
loop_
_atom_site_label
_atom_site_type_symbol
_atom_site_fract_x
_atom_site_fract_y
_atom_site_fract_z
Li1 Li 0.2500 0.2500 0.1466
Li2 Li 0.7500 0.7500 0.8534
Al1 Al 0.2500 0.2500 0.6157
Al2 Al 0.7500 0.7500 0.3843
```

---

[2]
A crystal of ZnINO2 relaxed with PBEsol, computed with meta-GGA SCAN.

The crystal system is tetragonal. The uncorrected formation energy comes out at 3.770 eV/f.u.

Geometry as CIF:
```
data_ZnINO2
_symmetry_space_group_name_H-M 'P 1'
_symmetry_Int_Tables_number 1
_symmetry_space_group_name_Hall 'P 1'
_cell_length_a 3.6033
_cell_length_b 3.6033
_cell_length_c 6.6387
_cell_angle_alpha 90.00
_cell_angle_beta 90.00
_cell_angle_gamma 90.00
loop_
_atom_site_label
_atom_site_type_symbol
_atom_site_fract_x
_atom_site_fract_y
_atom_site_fract_z
Zn1 Zn 0.0000 0.0000 0.0000
I1 I 0.0000 0.0000 0.5000
N1 N 0.5000 0.5000 0.5000
O1 O 0.0000 0.5000 0.0000
O2 O 0.5000 0.0000 0.0000
```

---

[3]
A crystal of Li6NiCl8 relaxed with PBEsol, computed with meta-GGA SCAN.

The crystal system is cubic. The uncorrected formation energy comes out at -27.495 eV/f.u.

Geometry as CIF:
```
data_Li6NiCl8
_symmetry_space_group_name_H-M 'P 1'
_symmetry_Int_Tables_number 1
_symmetry_space_group_name_Hall 'P 1'
_cell_length_a 7.1224
_cell_length_b 7.1224
_cell_length_c 7.1224
_cell_angle_alpha 60.00
_cell_angle_beta 60.00
_cell_angle_gamma 60.00
loop_
_atom_site_label
_atom_site_type_symbol
_atom_site_fract_x
_atom_site_fract_y
_atom_site_fract_z
Li1 Li 0.0000 0.0000 0.5000
Li2 Li 0.0000 0.5000 0.0000
Li3 Li 0.0000 0.5000 0.5000
Li4 Li 0.5000 0.0000 0.0000
Li5 Li 0.5000 0.0000 0.5000
Li6 Li 0.5000 0.5000 0.0000
Ni1 Ni 0.0000 0.0000 0.0000
Cl1 Cl 0.2359 0.2359 0.7641
Cl2 Cl 0.2359 0.7641 0.2359
Cl3 Cl 0.2359 0.7641 0.7641
Cl4 Cl 0.2500 0.2500 0.2500
Cl5 Cl 0.7500 0.7500 0.7500
Cl6 Cl 0.7641 0.2359 0.2359
Cl7 Cl 0.7641 0.2359 0.7641
Cl8 Cl 0.7641 0.7641 0.2359
```

---

[4]
A crystal of BeHgAsN2 relaxed with PBEsol, computed with meta-GGA SCAN.

The crystal system is tetragonal. The uncorrected formation energy comes out at 7.089 eV/f.u.

Geometry as CIF:
```
data_BeHgAsN2
_symmetry_space_group_name_H-M 'P 1'
_symmetry_Int_Tables_number 1
_symmetry_space_group_name_Hall 'P 1'
_cell_length_a 3.6242
_cell_length_b 3.6242
_cell_length_c 5.9908
_cell_angle_alpha 90.00
_cell_angle_beta 90.00
_cell_angle_gamma 90.00
loop_
_atom_site_label
_atom_site_type_symbol
_atom_site_fract_x
_atom_site_fract_y
_atom_site_fract_z
Be1 Be 0.0000 0.0000 0.0000
Hg1 Hg 0.5000 0.5000 0.0000
As1 As 0.5000 0.5000 0.5000
N1 N 0.0000 0.5000 0.5000
N2 N 0.5000 0.0000 0.5000
```

---

[5]
A crystal of TaSiCl2 relaxed with PBEsol, computed with meta-GGA SCAN.

The crystal system is cubic. The uncorrected formation energy comes out at 2.637 eV/f.u.

Geometry as CIF:
```
data_TaSiCl2
_symmetry_space_group_name_H-M 'P 1'
_symmetry_Int_Tables_number 1
_symmetry_space_group_name_Hall 'P 1'
_cell_length_a 4.4402
_cell_length_b 4.4402
_cell_length_c 4.4402
_cell_angle_alpha 60.00
_cell_angle_beta 60.00
_cell_angle_gamma 60.00
loop_
_atom_site_label
_atom_site_type_symbol
_atom_site_fract_x
_atom_site_fract_y
_atom_site_fract_z
Ta1 Ta 0.0000 0.0000 0.0000
Si1 Si 0.5000 0.5000 0.5000
Cl1 Cl 0.2500 0.2500 0.2500
Cl2 Cl 0.7500 0.7500 0.7500
```

---

[6]
A crystal of KTbC2O6 relaxed with PBEsol, computed with meta-GGA SCAN.

The crystal system is monoclinic. The uncorrected formation energy comes out at -23.395 eV/f.u.

Geometry as CIF:
```
data_KTbC2O6
_symmetry_space_group_name_H-M 'P 1'
_symmetry_Int_Tables_number 1
_symmetry_space_group_name_Hall 'P 1'
_cell_length_a 6.3585
_cell_length_b 6.3585
_cell_length_c 6.9062
_cell_angle_alpha 102.78
_cell_angle_beta 102.78
_cell_angle_gamma 98.17
loop_
_atom_site_label
_atom_site_type_symbol
_atom_site_fract_x
_atom_site_fract_y
_atom_site_fract_z
K1 K 0.1232 0.8768 0.7500
K2 K 0.8768 0.1232 0.2500
Tb1 Tb 0.4077 0.5923 0.2500
Tb2 Tb 0.5923 0.4077 0.7500
C1 C 0.1430 0.3950 0.7459
C2 C 0.3950 0.1430 0.2459
C3 C 0.6050 0.8570 0.7541
C4 C 0.8570 0.6050 0.2541
O1 O 0.0579 0.5910 0.2748
O2 O 0.2071 0.2530 0.6187
O3 O 0.2530 0.2071 0.1187
O4 O 0.2995 0.5330 0.8963
O5 O 0.4090 0.9421 0.2252
O6 O 0.4670 0.7005 0.6037
O7 O 0.5330 0.2995 0.3963
O8 O 0.5910 0.0579 0.7748
O9 O 0.7005 0.4670 0.1037
O10 O 0.7470 0.7929 0.8813
O11 O 0.7929 0.7470 0.3813
O12 O 0.9421 0.4090 0.7252
```

---

[7]
A crystal of Ni2HIrRh relaxed with PBEsol, computed with meta-GGA SCAN.

The crystal system is tetragonal.

Geometry as CIF:
```
data_Ni2HIrRh
_symmetry_space_group_name_H-M 'P 1'
_symmetry_Int_Tables_number 1
_symmetry_space_group_name_Hall 'P 1'
_cell_length_a 4.4710
_cell_length_b 4.4710
_cell_length_c 4.5868
_cell_angle_alpha 90.00
_cell_angle_beta 90.00
_cell_angle_gamma 90.00
loop_
_atom_site_label
_atom_site_type_symbol
_atom_site_fract_x
_atom_site_fract_y
_atom_site_fract_z
Ni1 Ni 0.0000 0.5000 0.0000
Ni2 Ni 0.5000 0.0000 0.0000
H1 H 0.0000 0.0000 0.5000
Ir1 Ir 0.5000 0.5000 0.5000
Rh1 Rh 0.5000 0.5000 0.0000
```

---

[8]
A crystal of Sr2BeW relaxed with PBEsol, computed with meta-GGA SCAN.

The crystal system is orthorhombic. For the calculated formation energy, the calculation gives 1402.2 meV/atom.

Geometry as CIF:
```
data_Sr2BeW
_symmetry_space_group_name_H-M 'P 1'
_symmetry_Int_Tables_number 1
_symmetry_space_group_name_Hall 'P 1'
_cell_length_a 3.0085
_cell_length_b 4.8933
_cell_length_c 6.2213
_cell_angle_alpha 90.00
_cell_angle_beta 90.00
_cell_angle_gamma 90.00
loop_
_atom_site_label
_atom_site_type_symbol
_atom_site_fract_x
_atom_site_fract_y
_atom_site_fract_z
Sr1 Sr 0.0000 0.0000 0.2484
Sr2 Sr 0.0000 0.0000 0.7516
Be1 Be 0.5000 0.5000 0.0000
W1 W 0.5000 0.5000 0.5000
```

---

no.,energy (hartree per atom)
1,-0.1892
2,-0.5016
3,-0.2985
4,-0.7659
5,-0.8261
6,-0.5001
7,-0.9613
8,-1.0380